[1]
## HPbF5 (PBE-GGA)

Data for HPbF5 after structural relaxation.

As for the raw total energy: -0.3021 Ry per atom.

The space group is C2/c (No. 15) and the conventional cell measures 10.226, 5.902 and 8.220 Å, with angles of 90.00, 121.73 and 90.00 degrees. The distinct sites, in fractional coordinates, are H at (0.000, 0.164, 0.250), Pb at (0.000, 0.500, 0.000), F at (0.000, 0.363, 0.750), F at (0.048, 0.175, 0.412) and F at (0.225, 0.434, 0.166).

[2]
## H2PbF (PBE-GGA)

Data for H2PbF after structural relaxation.

As for the energy above the most stable polymorph in this dataset: 0 meV per atom. As for the raw total energy: -0.2412 Ry per atom.

The space group is I-42d (No. 122) and the conventional cell measures 3.996, 3.996 and 12.967 Å, with angles of 90.00, 90.00 and 90.00 degrees. The distinct sites, in fractional coordinates, are H at (0.148, 0.250, 0.125), Pb at (0.000, 0.000, 0.000) and F at (0.000, 0.000, 0.500).

[3]
## HPbF4 (PBE-GGA)

Data for HPbF4 after structural relaxation.

As for the raw total energy: -0.3141 Ry per atom.

The space group is C2/c (No. 15) and the conventional cell measures 5.979, 11.446 and 5.499 Å, with angles of 90.00, 119.88 and 90.00 degrees. The distinct sites, in fractional coordinates, are H at (0.000, 0.215, 0.250), Pb at (0.000, 0.391, 0.750), F at (0.104, 0.217, 0.120) and F at (0.219, 0.462, 0.191).